Entry 1:
Computed, not measured: EuHgH2 after structural relaxation at the GGA-PBE level of DFT.

Lattice parameters (Å, degrees): 3.9056 3.9056 5.6589 69.81 69.81 60.00
With the nearest neighbours (Å) after each atom.
Element x y z (fractional)
Eu1 0.5000 0.5000 0.5000  6 H 2.36
H1 0.2109 0.2109 0.3672  3 Eu 2.36
H2 0.7891 0.7891 0.6328  3 Eu 2.36
Hg1 0.0000 0.0000 0.0000  8 H 2.95-3.28

Properties
The calculation puts the spin magnetization at 1.739 μB/atom. The total energy is -0.3399 Ry/atom.



Entry 2:
Computed, not measured: EuHgH after structural relaxation at the GGA-PBE level of DFT.

Lattice parameters (Å, degrees): 4.9602 3.9742 3.9742 120.00 90.00 90.00
With the nearest neighbours (Å) after each atom.
Element x y z (fractional)
Eu1 0.1659 0.0000 0.0000  3 H 2.29
H1 0.1681 0.3333 0.6667  3 Eu 2.29
Hg1 0.6660 0.6667 0.3333  6 H 3.37-3.39, 6 Eu 3.38

Properties
The calculation puts the spin magnetization at 2.489 μB/atom. The total energy is -0.3666 Ry/atom.



Entry 3:
Computed, not measured: Eu2HgH after structural relaxation at the GGA-PBE level of DFT.

Lattice parameters (Å, degrees): 3.4906 3.4906 7.8027 90.00 90.00 90.00
With the nearest neighbours (Å) after each atom.
Element x y z (fractional)
Eu1 0.0000 0.0000 0.7820  4 H 3.00, 4 Hg 3.31
Eu2 0.0000 0.0000 0.2180  4 H 3.00, 4 Hg 3.31
H1 0.5000 0.5000 0.0000  8 Eu 3.00
Hg1 0.5000 0.5000 0.5000  8 Eu 3.31, 4 Hg 3.49

Properties
The calculation puts the spin magnetization at 3.653 μB/atom. The total energy is -0.4601 Ry/atom.



Entry 4:
Computed, not measured: Eu2HgH after structural relaxation at the GGA-PBE level of DFT.

Lattice parameters (Å, degrees): 3.8798 3.8798 8.0327 76.02 76.02 60.00
With the nearest neighbours (Å) after each atom.
Element x y z (fractional)
Eu1 0.2706 0.2706 0.1881  3 H 2.67
Eu2 0.7294 0.7294 0.8119  3 H 2.67
H1 0.0000 0.0000 0.0000  6 Eu 2.67
Hg1 0.5000 0.5000 0.5000  6 Eu 3.29

Properties
The calculation puts the spin magnetization at 3.785 μB/atom. The total energy is -0.4712 Ry/atom.



Entry 5:
Computed, not measured: EuHgH after structural relaxation at the GGA-PBE level of DFT.

Lattice parameters (Å, degrees): 4.7412 6.6813 7.6312 90.00 90.00 90.00
With the nearest neighbours (Å) after each atom.
Element x y z (fractional)
Eu1 0.2500 0.1299 0.1587  4 H 2.50-2.63
Eu2 0.2500 0.3701 0.6587  4 H 2.50-2.63
Eu3 0.7500 0.6299 0.3413  4 H 2.50-2.63
Eu4 0.7500 0.8701 0.8413  4 H 2.50-2.63
H1 0.2500 0.0396 0.8401  4 Eu 2.50-2.63, 1 Hg 2.51
H2 0.2500 0.4604 0.3401  4 Eu 2.50-2.63, 1 Hg 2.51
H3 0.7500 0.5396 0.6599  4 Eu 2.50-2.63, 1 Hg 2.51
H4 0.7500 0.9604 0.1599  4 Eu 2.50-2.63, 1 Hg 2.51
Hg1 0.7500 0.1329 0.4515  1 H 2.51
Hg2 0.7500 0.3671 0.9515  1 H 2.51
Hg3 0.2500 0.6329 0.0485  1 H 2.51
Hg4 0.2500 0.8671 0.5485  1 H 2.51

Properties
The calculation puts the spin magnetization at 2.419 μB/atom. The total energy is -0.3724 Ry/atom.



Entry 6:
Computed, not measured: Eu5Hg3H12 after structural relaxation at the GGA-PBE level of DFT.

Lattice parameters (Å, degrees): 12.7243 12.7243 12.7243 109.47 109.47 109.47
With the nearest neighbours (Å) after each atom.
Element x y z (fractional)
Hg1 0.7500 0.3750 0.1250  8 H 2.97-3.23
Hg2 0.8750 0.7500 0.1250  8 H 2.97-3.23
Hg3 0.3750 0.7500 0.6250  8 H 2.97-3.23
Hg4 0.2500 0.1250 0.3750  8 H 2.97-3.23
Hg5 0.8750 0.1250 0.2500  8 H 2.97-3.23
Hg6 0.3750 0.6250 0.2500  8 H 2.97-3.23
Hg7 0.6250 0.3750 0.7500  8 H 2.97-3.23
Hg8 0.1250 0.8750 0.7500  8 H 2.97-3.23
Hg9 0.7500 0.8750 0.6250  8 H 2.97-3.23
Hg10 0.6250 0.2500 0.3750  8 H 2.97-3.23
Hg11 0.1250 0.2500 0.8750  8 H 2.97-3.23
Hg12 0.2500 0.6250 0.8750  8 H 2.97-3.23
Eu1 0.1250 0.3750 0.2500  4 H 2.18
Eu2 0.0000 0.5000 0.0000  6 H 2.24
Eu3 0.0000 0.0000 0.0000  6 H 2.24
Eu4 0.3750 0.2500 0.1250  4 H 2.18
Eu5 0.5000 0.0000 0.5000  6 H 2.24
Eu6 0.5000 0.5000 0.0000  6 H 2.24
Eu7 0.1250 0.7500 0.3750  4 H 2.18
Eu8 0.7500 0.1250 0.8750  4 H 2.18
Eu9 0.7500 0.6250 0.3750  4 H 2.18
Eu10 0.3750 0.1250 0.7500  4 H 2.18
Eu11 0.6250 0.8750 0.2500  4 H 2.18
Eu12 0.5000 0.5000 0.5000  6 H 2.24
Eu13 0.5000 0.0000 0.0000  6 H 2.24
Eu14 0.0000 0.0000 0.5000  6 H 2.24
Eu15 0.2500 0.3750 0.6250  4 H 2.18
Eu16 0.2500 0.8750 0.1250  4 H 2.18
Eu17 0.0000 0.5000 0.5000  6 H 2.24
Eu18 0.8750 0.2500 0.6250  4 H 2.18
Eu19 0.6250 0.7500 0.8750  4 H 2.18
Eu20 0.8750 0.6250 0.7500  4 H 2.18
H1 0.6871 0.0797 0.0021  2 Eu 2.18-2.24
H2 0.3151 0.5021 0.4224  2 Eu 2.18-2.24
H3 0.9979 0.4203 0.3129  2 Eu 2.18-2.24
H4 0.5021 0.1871 0.0797  2 Eu 2.18-2.24
H5 0.6073 0.6871 0.6849  2 Eu 2.18-2.24
H6 0.9979 0.5776 0.1849  2 Eu 2.18-2.24
H7 0.3151 0.8129 0.3927  2 Eu 2.18-2.24
H8 0.0776 0.8927 0.0797  2 Eu 2.18-2.24
H9 0.5776 0.9979 0.6849  2 Eu 2.18-2.24
H10 0.6871 0.6073 0.1849  2 Eu 2.18-2.24
H11 0.8129 0.4979 0.4203  2 Eu 2.18-2.24
H12 0.8151 0.9224 0.0021  2 Eu 2.18-2.24
H13 0.0797 0.6871 0.5021  2 Eu 2.18-2.24
H14 0.4203 0.4224 0.1073  2 Eu 2.18-2.24
H15 0.1073 0.9224 0.4203  2 Eu 2.18-2.24
H16 0.3927 0.0797 0.5776  2 Eu 2.18-2.24
H17 0.1073 0.1849 0.1871  2 Eu 2.18-2.24
H18 0.4979 0.6849 0.0776  2 Eu 2.18-2.24
H19 0.8151 0.8927 0.3129  2 Eu 2.18-2.24
H20 0.0797 0.3927 0.0776  2 Eu 2.18-2.24
H21 0.4203 0.9979 0.8129  2 Eu 2.18-2.24
H22 0.5776 0.5797 0.3927  2 Eu 2.18-2.24
H23 0.9224 0.8151 0.5021  2 Eu 2.18-2.24
H24 0.8129 0.3151 0.8927  2 Eu 2.18-2.24
H25 0.4224 0.4203 0.6073  2 Eu 2.18-2.24
H26 0.0776 0.1849 0.4979  2 Eu 2.18-2.24
H27 0.1871 0.6849 0.1073  2 Eu 2.18-2.24
H28 0.1849 0.1073 0.6871  2 Eu 2.18-2.24
H29 0.5797 0.0021 0.1871  2 Eu 2.18-2.24
H30 0.9203 0.6073 0.9224  2 Eu 2.18-2.24
H31 0.5021 0.3151 0.9224  2 Eu 2.18-2.24
H32 0.6073 0.9203 0.4224  2 Eu 2.18-2.24
H33 0.8927 0.8151 0.8129  2 Eu 2.18-2.24
H34 0.8927 0.0776 0.5797  2 Eu 2.18-2.24
H35 0.9203 0.3129 0.4979  2 Eu 2.18-2.24
H36 0.1849 0.0776 0.9979  2 Eu 2.18-2.24
H37 0.5797 0.5776 0.8927  2 Eu 2.18-2.24
H38 0.4224 0.0021 0.3151  2 Eu 2.18-2.24
H39 0.3129 0.3927 0.8151  2 Eu 2.18-2.24
H40 0.1871 0.5021 0.5797  2 Eu 2.18-2.24
H41 0.9224 0.1073 0.9203  2 Eu 2.18-2.24
H42 0.6849 0.1871 0.6073  2 Eu 2.18-2.24
H43 0.4979 0.8129 0.9203  2 Eu 2.18-2.24
H44 0.0021 0.4224 0.8151  2 Eu 2.18-2.24
H45 0.3927 0.3129 0.3151  2 Eu 2.18-2.24
H46 0.0021 0.5797 0.6871  2 Eu 2.18-2.24
H47 0.6849 0.4979 0.5776  2 Eu 2.18-2.24
H48 0.3129 0.9203 0.9979  2 Eu 2.18-2.24

Properties
The calculation puts the spin magnetization at 0.358 μB/atom. The total energy is -0.3453 Ry/atom.



Entry 7:
Computed, not measured: EuHoH2 after structural relaxation at the GGA-PBE level of DFT.

Lattice parameters (Å, degrees): 3.5533 3.5533 6.2250 73.42 73.42 60.00
With the nearest neighbours (Å) after each atom.
Element x y z (fractional)
Eu1 0.5000 0.5000 0.5000  6 H 2.72
H1 0.7322 0.7322 0.8035  3 Ho 2.35
H2 0.2678 0.2678 0.1965  3 Ho 2.35
Ho1 0.0000 0.0000 0.0000  6 H 2.35

Properties
The calculation puts the spin magnetization at 1.817 μB/atom. The total energy is -0.4210 Ry/atom.



Entry 8:
Computed, not measured: Eu3HoH after structural relaxation at the GGA-PBE level of DFT.

Lattice parameters (Å, degrees): 5.2709 5.2709 5.2709 90.00 90.00 90.00
With the nearest neighbours (Å) after each atom.
Element x y z (fractional)
Eu1 0.0000 0.5000 0.0000  2 H 2.64
Eu2 0.0000 0.0000 0.5000  2 H 2.64
Eu3 0.5000 0.0000 0.0000  2 H 2.64
H1 0.0000 0.0000 0.0000  6 Eu 2.64
Ho1 0.5000 0.5000 0.5000  12 Eu 3.73

Properties
The calculation puts the spin magnetization at 4.504 μB/atom. The total energy is -0.5771 Ry/atom.